Material: Co5Pb
Method: DFT, meta-GGA SCAN
State: single point on PBEsol structure

Spin magnetization in μB per formula unit: 8.7
ΔH_f (0 K) in kJ/mol of atoms: 40.4

a = 3.9633 Å, b = 2.8012 Å, c = 13.6225 Å
α = 90.00°, β = 90.00°, γ = 90.00°
Closest atoms and distances in Å follow each position.
Space group Amm2 (No. 38)
Inequivalent atoms, fractional coordinates:
1 Co 0.0000 0.0000 0.0000 (multiplicity 2)  4 Co 2.41-2.48, 4 Pb 2.64
2 Co 0.0000 0.0000 0.2894 (multiplicity 2)  6 Co 2.42-2.49, 2 Pb 2.70
3 Co 0.0000 0.0000 0.6442 (multiplicity 2)  10 Co 2.41-2.47
4 Co 0.5000 0.0000 0.1089 (multiplicity 2)  8 Co 2.35-2.48
5 Co 0.5000 0.0000 0.7471 (multiplicity 2)  8 Co 2.35-2.49
6 Pb 0.5000 0.0000 0.4237 (multiplicity 2)  10 Co 2.64-2.88, 2 Pb 2.80


Material: TlCuPb2
Method: DFT, meta-GGA SCAN
State: single point on PBEsol structure

Spin magnetization in μB per formula unit: 0.0
ΔH_f (0 K) in kJ/mol of atoms: 32.0

a = 4.7582 Å, b = 4.7582 Å, c = 4.3531 Å
α = 90.00°, β = 90.00°, γ = 90.00°
Closest atoms and distances in Å follow each position.
Space group P4/mmm (No. 123)
Inequivalent atoms, fractional coordinates:
1 Tl 0.0000 0.0000 0.0000 (multiplicity 1)  8 Pb 3.22, 4 Cu 3.36
2 Cu 0.5000 0.5000 0.0000 (multiplicity 1)  8 Pb 3.22, 4 Tl 3.36
3 Pb 0.0000 0.5000 0.5000 (multiplicity 2)  4 Cu 3.22, 4 Tl 3.22, 4 Pb 3.36


Material: AlReNi6
Method: DFT, meta-GGA SCAN
State: single point on PBEsol structure

Spin magnetization in μB per formula unit: 1.8
ΔH_f (0 K) in kJ/mol of atoms: -16.9

a = 7.0925 Å, b = 10.0276 Å, c = 10.0263 Å
α = 90.00°, β = 90.00°, γ = 90.00°
Closest atoms and distances in Å follow each position.
Space group Cmmm (No. 65)
Inequivalent atoms, fractional coordinates:
1 Al 0.0000 0.0000 0.2472 (multiplicity 4)  12 Ni 2.48-2.54
2 Al 0.0000 0.2505 0.0000 (multiplicity 4)  12 Ni 2.50-2.53
3 Re 0.0000 0.2493 0.5000 (multiplicity 4)  12 Ni 2.48-2.51
4 Re 0.0000 0.5000 0.2440 (multiplicity 4)  12 Ni 2.45-2.57
5 Ni 0.0000 0.0000 0.0000 (multiplicity 2)  4 Al 2.48-2.51, 8 Ni 2.51
6 Ni 0.0000 0.0000 0.5000 (multiplicity 2)  2 Re 2.50, 8 Ni 2.52, 2 Al 2.54
7 Ni 0.0000 0.2514 0.2522 (multiplicity 8)  8 Ni 2.47-2.53, 2 Re 2.48-2.49, 2 Al 2.52-2.53
8 Ni 0.0000 0.5000 0.0000 (multiplicity 2)  2 Re 2.45, 2 Al 2.50, 8 Ni 2.50
9 Ni 0.0000 0.5000 0.5000 (multiplicity 2)  8 Ni 2.50, 4 Re 2.51-2.57
10 Ni 0.2482 0.3741 0.3746 (multiplicity 16)  8 Ni 2.47-2.52, 3 Re 2.50-2.53, 1 Al 2.53
11 Ni 0.2492 0.3754 0.1253 (multiplicity 16)  1 Re 2.47, 3 Al 2.49-2.52, 8 Ni 2.50-2.53


Material: Na2ScCr
Method: DFT, meta-GGA SCAN
State: single point on PBEsol structure

Spin magnetization in μB per formula unit: 5.9
ΔH_f (0 K) in kJ/mol of atoms: 66.4

a = 7.3013 Å, b = 7.3013 Å, c = 7.3013 Å
α = 90.00°, β = 90.00°, γ = 90.00°
Closest atoms and distances in Å follow each position.
Space group Fm-3m (No. 225)
Inequivalent atoms, fractional coordinates:
1 Na 0.2500 0.2500 0.2500 (multiplicity 8)  4 Cr 3.16, 4 Sc 3.16
2 Sc 0.0000 0.0000 0.0000 (multiplicity 4)  8 Na 3.16
3 Cr 0.0000 0.0000 0.5000 (multiplicity 4)  8 Na 3.16


Material: LaMgAg2
Method: DFT, meta-GGA SCAN
State: single point on PBEsol structure

Spin magnetization in μB per formula unit: 0.0
ΔH_f (0 K) in kJ/mol of atoms: -19.5

a = 3.4348 Å, b = 4.7674 Å, c = 5.8721 Å
α = 90.00°, β = 107.07°, γ = 90.00°
Closest atoms and distances in Å follow each position.
Space group Pm (No. 6)
Inequivalent atoms, fractional coordinates:
1 La 0.0000 0.0000 0.0000 (multiplicity 1)  7 Ag 3.00-3.13
2 Mg 0.6990 0.5000 0.3990 (multiplicity 1)  6 Ag 2.90-3.04
3 Ag 0.2657 0.0000 0.5344 (multiplicity 1)  2 Ag 2.86, 3 La 3.00-3.13, 4 Mg 3.03-3.04
4 Ag 0.4070 0.5000 0.8145 (multiplicity 1)  2 Ag 2.86, 2 Mg 2.90, 4 La 3.12


Material: DyErCu2
Method: DFT, meta-GGA SCAN
State: single point on PBEsol structure

Spin magnetization in μB per formula unit: 0.0
ΔH_f (0 K) in kJ/mol of atoms: -30.9

a = 6.7729 Å, b = 6.7729 Å, c = 6.7729 Å
α = 90.00°, β = 90.00°, γ = 90.00°
Closest atoms and distances in Å follow each position.
Space group Fm-3m (No. 225)
Inequivalent atoms, fractional coordinates:
1 Dy 0.0000 0.0000 0.0000 (multiplicity 4)  8 Cu 2.93
2 Er 0.0000 0.0000 0.5000 (multiplicity 4)  8 Cu 2.93
3 Cu 0.2500 0.2500 0.2500 (multiplicity 8)  4 Dy 2.93, 4 Er 2.93


Material: Na2BeF4
Method: DFT, meta-GGA SCAN
State: single point on PBEsol structure

Spin magnetization in μB per formula unit: 0.1
VASP energy in eV/atom: -7.06

a = 10.9352 Å, b = 6.5394 Å, c = 4.8844 Å
α = 90.00°, β = 90.00°, γ = 90.00°
Closest atoms and distances in Å follow each position.
Space group Pnma (No. 62)
Inequivalent atoms, fractional coordinates:
1 Na 0.0000 0.0000 0.0000 (multiplicity 4)  6 F 2.26-2.33
2 Na 0.2218 0.2500 0.4872 (multiplicity 4)  6 F 2.25-2.37
3 Be 0.0953 0.7500 0.4289 (multiplicity 4)  4 F 1.55-1.58
4 F 0.0383 0.2500 0.6932 (multiplicity 4)  1 Be 1.58
5 F 0.0935 0.7500 0.7456 (multiplicity 4)  1 Be 1.55
6 F 0.1604 0.5578 0.3044 (multiplicity 8)  1 Be 1.57


Material: MoC
Method: DFT, meta-GGA SCAN
State: single point on PBEsol structure

Spin magnetization in μB per formula unit: 0.0
Distance to the lowest polymorph of the same formula in meV per atom: 0
ΔH_f (0 K) in kJ/mol of atoms: -10.1

a = 2.8913 Å, b = 2.8913 Å, c = 2.8051 Å
α = 90.00°, β = 90.00°, γ = 120.00°
Closest atoms and distances in Å follow each position.
Space group P-6m2 (No. 187)
Inequivalent atoms, fractional coordinates:
1 Mo 0.0000 0.0000 0.0000 (multiplicity 1)  6 C 2.18
2 C 0.6667 0.3333 0.5000 (multiplicity 1)  6 Mo 2.18


Material: TcSb2Se
Method: DFT, meta-GGA SCAN
State: single point on PBEsol structure

Spin magnetization in μB per formula unit: 0.8
VASP energy in eV/atom: -31.80

a = 6.1253 Å, b = 7.7349 Å, c = 3.3063 Å
α = 90.00°, β = 90.00°, γ = 90.00°
Closest atoms and distances in Å follow each position.
Space group Cmmm (No. 65)
Inequivalent atoms, fractional coordinates:
1 Tc 0.0000 0.0000 0.0000 (multiplicity 2)  8 Sb 2.97, 2 Se 3.06, 2 Tc 3.31
2 Sb 0.2500 0.2500 0.5000 (multiplicity 4)  4 Tc 2.97, 4 Se 2.97, 4 Sb 3.06-3.31
3 Se 0.0000 0.5000 0.0000 (multiplicity 2)  8 Sb 2.97, 2 Tc 3.06, 2 Se 3.31


Material: HgGeNF2
Method: DFT, meta-GGA SCAN
State: single point on PBEsol structure

Spin magnetization in μB per formula unit: 0.5
VASP energy in eV/atom: -20.48

a = 4.3867 Å, b = 4.3867 Å, c = 4.1414 Å
α = 90.00°, β = 90.00°, γ = 90.00°
Closest atoms and distances in Å follow each position.
Space group P4/mmm (No. 123)
Inequivalent atoms, fractional coordinates:
1 Hg 0.0000 0.0000 0.0000 (multiplicity 1)  2 N 2.07, 4 F 2.19
2 Ge 0.5000 0.5000 0.5000 (multiplicity 1)  8 F 3.02, 4 N 3.10
3 N 0.0000 0.0000 0.5000 (multiplicity 1)  2 Hg 2.07
4 F 0.0000 0.5000 0.0000 (multiplicity 2)  2 Hg 2.19


Material: Sr2AgSCl
Method: DFT, meta-GGA SCAN
State: single point on PBEsol structure

Spin magnetization in μB per formula unit: 0.0
VASP energy in eV/atom: -19.75

a = 5.6937 Å, b = 5.6937 Å, c = 4.7446 Å
α = 90.00°, β = 90.00°, γ = 90.00°
Closest atoms and distances in Å follow each position.
Space group P4/mmm (No. 123)
Inequivalent atoms, fractional coordinates:
1 Sr 0.0000 0.5000 0.0000 (multiplicity 2)  2 S 2.85
2 Ag 0.0000 0.0000 0.5000 (multiplicity 1)  2 S 2.37
3 S 0.0000 0.0000 0.0000 (multiplicity 1)  2 Ag 2.37
4 Cl 0.5000 0.5000 0.5000 (multiplicity 1)  8 Sr 3.71, 4 Ag 4.03


Material: PdRuSN2
Method: DFT, meta-GGA SCAN
State: single point on PBEsol structure

Spin magnetization in μB per formula unit: 2.1
VASP energy in eV/atom: -17.36

a = 3.7160 Å, b = 3.7160 Å, c = 4.9375 Å
α = 90.00°, β = 90.00°, γ = 90.00°
Closest atoms and distances in Å follow each position.
Space group P4/mmm (No. 123)
Inequivalent atoms, fractional coordinates:
1 Pd 0.0000 0.0000 0.0000 (multiplicity 1)  4 N 1.86
2 Ru 0.5000 0.5000 0.5000 (multiplicity 1)  4 S 2.63
3 S 0.0000 0.0000 0.5000 (multiplicity 1)  2 Pd 2.47, 4 Ru 2.63
4 N 0.0000 0.5000 0.0000 (multiplicity 2)  2 Pd 1.86


Material: KNb6Se8
Method: DFT, meta-GGA SCAN
State: single point on PBEsol structure

Spin magnetization in μB per formula unit: 0.0
VASP energy in eV/atom: -25.54

a = 10.0298 Å, b = 10.0298 Å, c = 3.4777 Å
α = 90.00°, β = 90.00°, γ = 120.00°
Closest atoms and distances in Å follow each position.
Space group P-3 (No. 147)
Inequivalent atoms, fractional coordinates:
1 K 0.0000 0.0000 0.0000 (multiplicity 1)  6 Se 3.28, 2 K 3.48
2 Nb 0.1073 0.6195 0.2489 (multiplicity 6)  6 Se 2.58-2.78, 2 Nb 2.87-2.88
3 Se 0.0609 0.3408 0.2527 (multiplicity 6)  4 Nb 2.58-2.78
4 Se 0.3333 0.6667 0.7494 (multiplicity 2)  6 Nb 2.70-2.71


Material: CaCd2Pt
Method: DFT, meta-GGA SCAN
State: single point on PBEsol structure

Spin magnetization in μB per formula unit: 0.0
ΔH_f (0 K) in kJ/mol of atoms: -45.5

a = 6.8489 Å, b = 6.8489 Å, c = 6.8489 Å
α = 90.00°, β = 90.00°, γ = 90.00°
Closest atoms and distances in Å follow each position.
Space group F-43m (No. 216)
Inequivalent atoms, fractional coordinates:
1 Ca 0.0000 0.0000 0.0000 (multiplicity 4)  4 Cd 2.97, 4 Pt 2.97
2 Cd 0.0000 0.0000 0.5000 (multiplicity 4)  4 Pt 2.97, 4 Cd 2.97
3 Cd 0.2500 0.2500 0.2500 (multiplicity 4)  4 Cd 2.97, 4 Ca 2.97
4 Pt 0.2500 0.2500 0.7500 (multiplicity 4)  4 Ca 2.97, 4 Cd 2.97


Material: SmGaCo
Method: DFT, meta-GGA SCAN
State: single point on PBEsol structure

Spin magnetization in μB per formula unit: 0.2
ΔH_f (0 K) in kJ/mol of atoms: -40.6

a = 10.9808 Å, b = 4.1580 Å, c = 4.9366 Å
α = 90.00°, β = 103.40°, γ = 90.00°
Closest atoms and distances in Å follow each position.
Space group C2/m (No. 12)
Inequivalent atoms, fractional coordinates:
1 Sm 0.1222 0.0000 0.3159 (multiplicity 4)  2 Co 2.57-2.68
2 Ga 0.0936 0.5000 0.7974 (multiplicity 4)  3 Co 2.40-2.43
3 Co 0.2050 0.0000 0.8707 (multiplicity 4)  3 Ga 2.40-2.43, 2 Co 2.52, 2 Sm 2.57-2.68


Material: Rh5W3
Method: DFT, meta-GGA SCAN
State: single point on PBEsol structure

Spin magnetization in μB per formula unit: 0.0
ΔH_f (0 K) in kJ/mol of atoms: -16.9

a = 7.6857 Å, b = 7.7068 Å, c = 3.8311 Å
α = 90.00°, β = 90.00°, γ = 90.00°
Closest atoms and distances in Å follow each position.
Space group Cmmm (No. 65)
Inequivalent atoms, fractional coordinates:
1 Rh 0.0000 0.0000 0.0000 (multiplicity 2)  4 W 2.69, 8 Rh 2.72-2.73
2 Rh 0.0000 0.2532 0.5000 (multiplicity 4)  6 W 2.70-2.73, 6 Rh 2.71-2.73
3 Rh 0.2500 0.2500 0.0000 (multiplicity 4)  6 Rh 2.71-2.72, 6 W 2.72
4 W 0.0000 0.5000 0.0000 (multiplicity 2)  8 Rh 2.70-2.72, 4 W 2.74
5 W 0.2459 0.0000 0.5000 (multiplicity 4)  10 Rh 2.69-2.73, 2 W 2.74


Material: YW3
Method: DFT, meta-GGA SCAN
State: single point on PBEsol structure

Spin magnetization in μB per formula unit: 0.0
Distance to the lowest polymorph of the same formula in meV per atom: 0
ΔH_f (0 K) in kJ/mol of atoms: 42.3

a = 3.1668 Å, b = 3.1668 Å, c = 7.2768 Å
α = 90.00°, β = 90.00°, γ = 90.00°
Closest atoms and distances in Å follow each position.
Space group P4/mmm (No. 123)
Inequivalent atoms, fractional coordinates:
1 Y 0.0000 0.0000 0.0000 (multiplicity 1)  8 W 3.10, 4 Y 3.17
2 W 0.0000 0.0000 0.5000 (multiplicity 1)  8 W 2.69
3 W 0.5000 0.5000 0.2940 (multiplicity 2)  5 W 2.69-3.00


Material: MgTlSi
Method: DFT, meta-GGA SCAN
State: single point on PBEsol structure

Spin magnetization in μB per formula unit: 0.0
Distance to the lowest polymorph of the same formula in meV per atom: 0

a = 3.2684 Å, b = 3.2684 Å, c = 12.0872 Å
α = 90.00°, β = 90.00°, γ = 90.00°
Closest atoms and distances in Å follow each position.
Space group I4mm (No. 107)
Inequivalent atoms, fractional coordinates:
1 Mg 0.0000 0.0000 0.0000 (multiplicity 2)  4 Si 2.82
2 Tl 0.0000 0.0000 0.3041 (multiplicity 2)  4 Si 3.10, 4 Tl 3.27, 4 Mg 3.31
3 Si 0.0000 0.0000 0.6333 (multiplicity 2)  4 Mg 2.82, 4 Tl 3.10


Material: Zr2TaIF
Method: DFT, meta-GGA SCAN
State: single point on PBEsol structure

Spin magnetization in μB per formula unit: 1.6
VASP energy in eV/atom: -32.25

a = 5.2645 Å, b = 5.2645 Å, c = 4.9287 Å
α = 90.00°, β = 90.00°, γ = 90.00°
Closest atoms and distances in Å follow each position.
Space group P4/mmm (No. 123)
Inequivalent atoms, fractional coordinates:
1 Zr 0.0000 0.5000 0.0000 (multiplicity 2)  2 I 2.63
2 Ta 0.0000 0.0000 0.5000 (multiplicity 1)  2 I 2.46
3 I 0.0000 0.0000 0.0000 (multiplicity 1)  2 Ta 2.46, 4 Zr 2.63
4 F 0.5000 0.5000 0.5000 (multiplicity 1)  8 Zr 3.61, 4 Ta 3.72


Material: LiMgAl4
Method: DFT, meta-GGA SCAN
State: single point on PBEsol structure

Spin magnetization in μB per formula unit: 0.0
ΔH_f (0 K) in kJ/mol of atoms: -1.1

a = 7.6026 Å, b = 7.6026 Å, c = 7.6026 Å
α = 90.00°, β = 90.00°, γ = 90.00°
Closest atoms and distances in Å follow each position.
Space group F-43m (No. 216)
Inequivalent atoms, fractional coordinates:
1 Li 0.0000 0.0000 0.0000 (multiplicity 4)  12 Al 3.15, 4 Mg 3.29
2 Mg 0.2500 0.2500 0.2500 (multiplicity 4)  12 Al 3.15, 4 Li 3.29
3 Al 0.1252 0.1252 0.6252 (multiplicity 16)  6 Al 2.68-2.69